[1]
TeRu2Br: optimized geometry, PBE.

Summary:
density: 9.1 g cm⁻³
energy relative to the lowest polymorph listed for this composition: 51.3 kJ/mol of atoms
density of states at the Fermi level: 4.7 states/eV/cell
total moment: 0.00 μB/f.u.
raw total energy: -4.93 eV/atom
formation energy from raw total energies: 0.91 eV/atom

```
TeRu2Br
1.0
-0.1760 3.0932 0.3041
-1.9757 -0.6203 5.1671
4.0278 0.0769 1.5493
Te Br Ru
1 1 2
Direct
0.5000 0.0000 0.5000
0.0000 0.5000 0.5000
0.5000 0.5000 0.0000
0.0000 0.0000 0.0000
```

[2]
Sm6TmIn5: optimized geometry, PBE.

Summary:
density: 7.5 g cm⁻³
energy relative to the lowest polymorph listed for this composition: 13.7 kJ/mol of atoms
density of states at the Fermi level: 11.6 states/eV/cell
total moment: 0.00 μB/f.u.
raw total energy: -4.13 eV/atom
formation energy from the elements: -252 meV per atom

```
Sm6TmIn5
1.0
6.2567 0.1439 0.0000
2.1113 10.2545 0.0000
1.0556 5.1273 5.6999
In Sm Tm
5 6 1
Direct
0.5000 0.1326 0.7347
0.0000 0.2918 0.4165
0.5000 0.5000 0.0000
0.5000 0.8674 0.2653
0.0000 0.7082 0.5835
0.7307 0.0951 0.3603
0.2693 0.5446 0.3603
0.7872 0.7183 0.0000
0.2693 0.9049 0.6397
0.2128 0.2817 0.0000
0.7307 0.4554 0.6397
0.0000 0.0000 0.0000
```

[3]
RbPS: optimized geometry, PBE.

Summary:
density: 2.5 g cm⁻³
total moment: 0.00 μB/f.u.
raw total energy: -4.19 eV/atom
formation energy from raw total energies: -0.69 eV/atom

```
RbPS
1.0
-1.6866 4.0372 2.1422
-8.0894 -2.8240 3.8502
0.4858 -2.2392 4.4381
P S Rb
2 2 2
Direct
0.8781 0.0572 0.6146
0.1219 0.9428 0.3854
0.8752 0.2995 0.4002
0.1248 0.7005 0.5998
0.3839 0.2856 0.9091
0.6161 0.7144 0.0909
```

[4]
Mn2AuI: optimized geometry, PBE.

Summary:
density: 6.4 g cm⁻³
energy relative to the lowest polymorph listed for this composition: 24.0 kJ/mol of atoms
density of states at the Fermi level: 9.2 states/eV/cell
total moment: 9.12 μB/f.u.
raw total energy: -5.28 eV/atom
formation energy from raw total energies: 0.51 eV/atom

```
Mn2AuI
1.0
5.2652 0.0000 0.0000
0.0000 5.2652 0.0000
2.6326 2.6326 8.0872
Mn Au I
4 2 2
Direct
0.6978 0.1250 0.2500
0.8750 0.9478 0.7500
0.3750 0.3022 0.7500
0.0522 0.6250 0.2500
0.0000 0.0000 0.0000
0.7500 0.2500 0.5000
0.2500 0.7500 0.5000
0.5000 0.5000 0.0000
```